Density functional theory data (PBE) for crystalline Mn3Ni12W at its relaxed geometry.

Structure (extended XYZ):
```
16
Lattice="3.5893 0.0000 0.0000 0.0000 3.5893 0.0000 0.0000 0.0000 14.3575" Properties=species:S:1:pos:R:3 pbc="T T T"
Mn 0.0000 0.0000 3.6659
Mn 0.0000 0.0000 7.1787
Mn 0.0000 0.0000 10.6916
Ni 1.7947 1.7947 0.0000
Ni 1.7947 1.7947 3.5919
Ni 1.7947 1.7947 7.1787
Ni 1.7947 1.7947 10.7656
Ni 1.7947 0.0000 1.7924
Ni 1.7947 0.0000 5.4034
Ni 1.7947 0.0000 8.9541
Ni 1.7947 0.0000 12.5651
Ni 0.0000 1.7947 1.7924
Ni 0.0000 1.7947 5.4034
Ni 0.0000 1.7947 8.9541
Ni 0.0000 1.7947 12.5651
W 0.0000 0.0000 0.0000
```

Calculated values
Energy of formation from the pure elements: -0.098 eV per atom
ρ: 9.45 g/cm3
Fermi-level density of states: 0.853 states/eV/atom
Crystal system: tetragonal

***

Density functional theory data (PBE) for crystalline Mn2NiW at its relaxed geometry.

Structure (extended XYZ):
```
4
Lattice="-0.6367 1.2261 -3.9259 -1.5236 -2.6801 -2.7960 -3.8802 0.4671 -1.4309" Properties=species:S:1:pos:R:3 pbc="T T T"
Mn 0.0000 0.0000 0.0000
Mn -4.5303 -0.7401 -6.1146
Ni -3.0202 -0.4934 -4.0764
W -1.5101 -0.2467 -2.0382
```

Calculated values
Energy of formation from the pure elements: 0.154 eV per atom
ρ: 11.48 g/cm3
Distance to the lowest polymorph of the same formula: 124 meV per atom
Fermi-level density of states: 1.330 states/eV/atom
Crystal system: cubic

***

Density functional theory data (PBE) for crystalline MnNi2W at its relaxed geometry.

Structure (extended XYZ):
```
4
Lattice="-2.7504 0.7968 -2.4042 0.0646 -2.4694 -0.8923 -3.3856 -3.8273 2.6047" Properties=species:S:1:pos:R:3 pbc="T T T"
Mn -3.8660 -4.3241 0.0822
Ni -3.3695 -3.8207 2.5885
Ni -1.6766 -3.1548 0.8725
W -2.2055 -1.1758 -0.7740
```

Calculated values
Energy of formation from the pure elements: 0.018 eV per atom
ρ: 11.82 g/cm3
Distance to the lowest polymorph of the same formula: 55 meV per atom
Fermi-level density of states: 0.792 states/eV/atom
Crystal system: orthorhombic

***

Density functional theory data (PBE) for crystalline Mn2NiW at its relaxed geometry.

Structure (extended XYZ):
```
4
Lattice="-3.4624 -0.8746 -2.1258 -1.2931 -0.2533 2.2103 -1.3885 4.5587 0.3859" Properties=species:S:1:pos:R:3 pbc="T T T"
Mn -1.3016 -0.2249 2.2124
Mn -1.3323 2.1243 1.2960
Ni -2.4016 0.6390 -0.4139
W -3.7424 2.7917 0.8842
```

Calculated values
Energy of formation from the pure elements: 0.180 eV per atom
ρ: 11.53 g/cm3
Distance to the lowest polymorph of the same formula: 150 meV per atom
Fermi-level density of states: 1.339 states/eV/atom
Crystal system: monoclinic

***

Question: Among the records above, which one has the lowest ρ?
Answer: Mn3Ni12W